Record 1
Pm8Ge3N4 | PBE | optimized geometry

Results
Space-group type = No. 12
Formation energy (no corrections) = -0.79 eV/atom
Density = 6.96 g/cm³
Total moment = 0.0608 μB/atom
Energy = -6.46 eV per atom

abc: 7.8092 7.8092 7.7115
angles: 119.04 119.04 90.01
Closest atoms and distances in Å follow each position.
Positions (direct):
Pm 0.2113 0.2113 0.9573  2 N 2.57, 2 Ge 2.78
Pm 0.2217 0.2217 0.4752  4 N 2.58-2.77
Pm 0.2363 0.7637 0.0000  3 N 2.61-2.81, 3 Ge 2.76-2.91
Pm 0.2392 0.7608 0.5000  3 N 2.64-2.76, 2 Ge 2.81
Pm 0.7608 0.2392 0.5000  3 N 2.64-2.76, 2 Ge 2.81
Pm 0.7637 0.2363 0.0000  3 N 2.61-2.81, 3 Ge 2.76-2.91
Pm 0.7783 0.7783 0.5248  4 N 2.58-2.77
Pm 0.7887 0.7887 0.0427  2 N 2.57, 2 Ge 2.78
Ge 0.0000 0.5000 0.0000  6 Pm 2.76-2.81
Ge 0.5000 0.0000 0.0000  6 Pm 2.76-2.81
Ge 0.5000 0.5000 0.0000  6 Pm 2.91-2.97
N 0.0000 0.0000 0.0000  6 Pm 2.57-2.67
N 0.0000 0.0000 0.5000  6 Pm 2.57-2.64
N 0.0000 0.5000 0.5000  6 Pm 2.76-2.81
N 0.5000 0.0000 0.5000  6 Pm 2.76-2.81

=====

Record 2
ReHg2Mo | PBE | optimized geometry

Results
Formation energy = 2.72 eV/f.u.
Space-group type = No. 8
Density = 15.04 g/cm³
Energy above the most stable polymorph in this dataset = 1.07 eV/f.u.
Total moment = 0.0000 μB/atom
Energy = -5.29 eV per atom

abc: 5.3081 5.3081 4.9866
angles: 107.20 107.20 34.39
Closest atoms and distances in Å follow each position.
Positions (direct):
Re 0.0000 0.0000 0.0000  2 Mo 2.43
Hg 0.5384 0.5384 0.5390  4 Re 2.91-3.03, 5 Hg 2.93-3.14, 3 Mo 3.10-3.11
Hg 0.7656 0.7656 0.2912  4 Mo 2.92-3.03, 5 Hg 2.93-3.14, 3 Re 3.07-3.15
Mo 0.3088 0.3088 0.8315  2 Re 2.43

=====

Record 3
HfZrIn | PBE | optimized geometry

Results
Formation energy = -0.50 eV/f.u.
Space-group type = No. 107
Density = 9.42 g/cm³
Energy above the most stable polymorph in this dataset = 0.00 eV/f.u.
Total moment = 0.0000 μB/atom
Energy = -7.25 eV per atom

abc: 5.9558 5.9558 5.9558
angles: 145.41 145.41 49.72
Closest atoms and distances in Å follow each position.
Positions (direct):
Hf 0.0000 0.0000 0.0000  4 In 3.07, 4 Zr 3.09
Zr 0.6680 0.6680 0.0000  4 In 3.09, 4 Hf 3.09
In 0.3359 0.3359 0.0000  4 Hf 3.07, 4 Zr 3.09

=====

Record 4
Ca2TiFe | PBE | optimized geometry

Results
Formation energy = 2.25 eV/f.u.
Space-group type = No. 122
Density = 2.43 g/cm³
Energy above the most stable polymorph in this dataset = 0.00 eV/f.u.
Total moment = 0.0000 μB/atom
Energy = -4.53 eV per atom

abc: 8.0079 8.0079 8.0079
angles: 93.96 93.96 149.54
Closest atoms and distances in Å follow each position.
Positions (direct):
Ca 0.3750 0.0451 0.1701  2 Fe 2.92
Ca 0.7951 0.6250 0.6701  2 Fe 2.92
Ca 0.8750 0.2049 0.8299  2 Fe 2.92
Ca 0.9549 0.1250 0.3299  2 Fe 2.92
Ti 0.2500 0.7500 0.5000  2 Fe 2.10
Ti 0.5000 0.5000 0.0000  2 Fe 2.10
Fe 0.0000 0.0000 0.0000  2 Ti 2.10
Fe 0.7500 0.2500 0.5000  2 Ti 2.10

=====

Record 5
AcPmAg4 | PBE | optimized geometry

Results
Formation energy = -1.61 eV/f.u.
Space-group type = No. 47
Density = 8.70 g/cm³
Energy above the most stable polymorph in this dataset = 0.10 eV/f.u.
Total moment = 0.0000 μB/atom
Energy = -3.65 eV per atom

abc: 3.7918 4.8762 8.2973
angles: 90.00 90.00 90.00
Closest atoms and distances in Å follow each position.
Positions (direct):
Ac 0.0000 0.0000 0.0000  12 Ag 3.37-3.41
Pm 0.0000 0.5000 0.5000  12 Ag 3.31-3.37
Ag 0.5000 0.0000 0.3363  3 Ag 2.72-2.79
Ag 0.5000 0.0000 0.6637  3 Ag 2.72-2.79
Ag 0.5000 0.5000 0.1729  3 Ag 2.79-2.87
Ag 0.5000 0.5000 0.8271  3 Ag 2.79-2.87

=====

Record 6
CoTc4 | PBE | optimized geometry

Results
Formation energy = 0.30 eV/f.u.
Space-group type = No. 12
Density = 10.87 g/cm³
Energy above the most stable polymorph in this dataset = 0.00 eV/f.u.
Total moment = 0.0000 μB/atom
Energy = -9.65 eV per atom

abc: 7.1184 7.1184 5.3780
angles: 101.12 101.12 31.07
Closest atoms and distances in Å follow each position.
Positions (direct):
Co 0.1004 0.1004 0.3007  12 Tc 2.65-2.70
Co 0.8996 0.8996 0.6993  12 Tc 2.65-2.70
Tc 0.0974 0.0974 0.8010  3 Co 2.66-2.70, 9 Tc 2.67-2.77
Tc 0.3000 0.3000 0.4061  9 Tc 2.60-2.78, 3 Co 2.67-2.68
Tc 0.3032 0.3032 0.8916  10 Tc 2.60-2.79, 2 Co 2.65
Tc 0.5000 0.5000 0.0000  8 Tc 2.64-2.69, 4 Co 2.69
Tc 0.5000 0.5000 0.5000  8 Tc 2.68-2.69, 4 Co 2.70
Tc 0.6968 0.6968 0.1084  10 Tc 2.60-2.79, 2 Co 2.65
Tc 0.7000 0.7000 0.5939  9 Tc 2.60-2.78, 3 Co 2.67-2.68
Tc 0.9026 0.9026 0.1990  3 Co 2.66-2.70, 9 Tc 2.67-2.77

=====

Record 7
DyEr5Th4 | PBE | optimized geometry

Results
Formation energy = 0.28 eV/f.u.
Space-group type = No. 2
Density = 10.24 g/cm³
Energy above the most stable polymorph in this dataset = 0.00 eV/f.u.
Total moment = 0.0000 μB/atom
Energy = -5.68 eV per atom

abc: 3.5633 7.8630 11.7212
angles: 77.95 89.93 76.92
Closest atoms and distances in Å follow each position.
Positions (direct):
Dy 0.0000 0.0000 0.0000  6 Th 3.52-3.54, 4 Er 3.53, 2 Dy 3.56
Er 0.2034 0.5934 0.6007  4 Th 3.48-3.55, 8 Er 3.50-3.58
Er 0.3997 0.2018 0.1976  5 Th 3.49-3.53, 2 Dy 3.53, 5 Er 3.55-3.58
Er 0.5000 0.0000 0.5000  4 Th 3.54, 8 Er 3.55-3.56
Er 0.6003 0.7982 0.8024  5 Th 3.49-3.53, 2 Dy 3.53, 5 Er 3.55-3.58
Er 0.7966 0.4066 0.3993  4 Th 3.48-3.55, 8 Er 3.50-3.58
Th 0.0996 0.8012 0.2997  7 Er 3.49-3.55, 1 Dy 3.52, 4 Th 3.54-3.56
Th 0.2985 0.4016 0.8980  4 Er 3.48-3.52, 2 Dy 3.53-3.54, 6 Th 3.54-3.57
Th 0.7015 0.5984 0.1020  4 Er 3.48-3.52, 2 Dy 3.53-3.54, 6 Th 3.54-3.57
Th 0.9004 0.1988 0.7003  7 Er 3.49-3.55, 1 Dy 3.52, 4 Th 3.54-3.56

=====

Record 8
Tl2CuSeO | PBE | optimized geometry

Results
Space-group type = No. 123
Formation energy (no corrections) = -0.30 eV/atom
Density = 8.22 g/cm³
Total moment = 0.0001 μB/atom
Energy = -3.76 eV per atom

abc: 5.6366 5.6366 3.6073
angles: 90.00 90.00 90.00
Closest atoms and distances in Å follow each position.
Positions (direct):
Tl 0.0000 0.5000 0.0000  2 O 2.82
Tl 0.5000 0.0000 0.0000  2 O 2.82
Cu 0.0000 0.0000 0.5000  2 O 1.80
Se 0.5000 0.5000 0.5000  8 Tl 3.35, 2 Se 3.61
O 0.0000 0.0000 0.0000  2 Cu 1.80

=====

Record 9
LiScNbMo | PBE | optimized geometry

Results
Formation energy = 0.62 eV/f.u.
Space-group type = No. 216
Density = 5.79 g/cm³
Total moment = 0.0000 μB/atom
Energy = -7.13 eV per atom

abc: 4.6048 4.6048 4.6048
angles: 60.00 60.00 60.00
Closest atoms and distances in Å follow each position.
Positions (direct):
Li 0.0000 0.0000 0.0000  4 Sc 2.82, 4 Nb 2.82
Sc 0.7500 0.7500 0.7500  4 Mo 2.82, 4 Li 2.82
Nb 0.2500 0.2500 0.2500  4 Mo 2.82, 4 Li 2.82
Mo 0.5000 0.5000 0.5000  4 Sc 2.82, 4 Nb 2.82

=====

Record 10
Ce4PmTl3 | PBE | optimized geometry

Results
Formation energy = -1.24 eV/f.u.
Space-group type = No. 12
Density = 9.46 g/cm³
Total moment = 0.3169 μB/atom
Energy = -4.60 eV per atom

abc: 11.2381 11.2381 5.4705
angles: 99.41 99.41 19.85
Closest atoms and distances in Å follow each position.
Positions (direct):
Ce 0.1221 0.1221 0.1861  6 Tl 3.34-3.37, 3 Ce 3.40-3.75, 1 Pm 3.44
Ce 0.2521 0.2521 0.8267  2 Ce 2.72
Ce 0.7479 0.7479 0.1733  2 Ce 2.72
Ce 0.8779 0.8779 0.8139  6 Tl 3.34-3.37, 3 Ce 3.40-3.75, 1 Pm 3.44
Pm 0.0000 0.0000 0.5000  8 Tl 3.35-3.46, 2 Ce 3.44
Tl 0.3713 0.3713 0.3118  7 Ce 3.33-3.42, 2 Pm 3.46, 1 Tl 3.56
Tl 0.5000 0.5000 0.0000  4 Ce 3.34, 4 Pm 3.35, 2 Tl 3.56
Tl 0.6287 0.6287 0.6882  7 Ce 3.33-3.42, 2 Pm 3.46, 1 Tl 3.56

=====

Record 11
HoGe3Ir5 | PBE | optimized geometry

Results
Formation energy = -2.87 eV/f.u.
Space-group type = No. 63
Density = 13.94 g/cm³
Total moment = 0.0000 μB/atom
Energy = -7.29 eV per atom

abc: 6.8106 6.8106 12.1183
angles: 90.00 90.00 145.27
Closest atoms and distances in Å follow each position.
Positions (direct):
Ho 0.2211 0.7789 0.7500  6 Ir 3.09-3.11, 6 Ge 3.13-3.34
Ho 0.7789 0.2211 0.2500  6 Ir 3.09-3.11, 6 Ge 3.13-3.34
Ge 0.0958 0.9042 0.2500  6 Ir 2.49-2.56
Ge 0.3859 0.6141 0.0642  5 Ir 2.38-2.63
Ge 0.3859 0.6141 0.4358  5 Ir 2.38-2.63
Ge 0.6141 0.3859 0.5642  5 Ir 2.38-2.63
Ge 0.6141 0.3859 0.9358  5 Ir 2.38-2.63
Ge 0.9042 0.0958 0.7500  6 Ir 2.49-2.56
Ir 0.0000 0.0000 0.0000  4 Ge 2.63, 6 Ir 2.75-2.79
Ir 0.0000 0.0000 0.5000  4 Ge 2.63, 6 Ir 2.75-2.79
Ir 0.2031 0.7969 0.0732  2 Ge 2.38-2.56
Ir 0.2031 0.7969 0.4268  2 Ge 2.38-2.56
Ir 0.4341 0.5659 0.6361  4 Ge 2.49-2.51, 3 Ir 2.75-2.76
Ir 0.4341 0.5659 0.8639  4 Ge 2.49-2.51, 3 Ir 2.75-2.76
Ir 0.5659 0.4341 0.1361  4 Ge 2.49-2.51, 3 Ir 2.75-2.76
Ir 0.5659 0.4341 0.3639  4 Ge 2.49-2.51, 3 Ir 2.75-2.76
Ir 0.7969 0.2031 0.5732  2 Ge 2.38-2.56
Ir 0.7969 0.2031 0.9268  2 Ge 2.38-2.56

=====

Record 12
ScSe2O | PBE | optimized geometry

Results
Space-group type = No. 122
Formation energy (no corrections) = -0.42 eV/atom
Density = 4.07 g/cm³
Energy above the most stable polymorph in this dataset = 1.30 eV/f.u.
Total moment = 0.0000 μB/atom
Energy = -4.99 eV per atom

abc: 7.4350 7.4350 7.4350
angles: 138.49 138.49 60.15
Closest atoms and distances in Å follow each position.
Positions (direct):
Sc 0.0000 0.0000 0.0000  4 Se 2.66
Sc 0.7500 0.2500 0.5000  4 Se 2.66
Se 0.1911 0.6250 0.0661  2 O 2.29
Se 0.3750 0.4411 0.5661  2 O 2.29
Se 0.5589 0.1250 0.9339  2 O 2.29
Se 0.8750 0.8089 0.4339  2 O 2.29
O 0.2500 0.7500 0.5000  4 Se 2.29
O 0.5000 0.5000 0.0000  4 Se 2.29

=====

Record 13
K2CaCdI6 | PBE | optimized geometry

Results
Space-group type = No. 99
Formation energy (no corrections) = -1.17 eV/atom
Density = 3.43 g/cm³
Total moment = 0.0000 μB/atom
Energy = -2.61 eV per atom

abc: 8.2869 8.2869 6.9895
angles: 90.00 90.00 90.00
Closest atoms and distances in Å follow each position.
Positions (direct):
K 0.0000 0.5000 0.0000  4 I 3.64
K 0.5000 0.0000 0.0000  4 I 3.64
Ca 0.0000 0.0000 0.5776  5 I 3.02-3.11
Cd 0.5000 0.5000 0.5543  5 I 2.76-3.01
I 0.0000 0.0000 0.1452  1 Ca 3.02
I 0.2565 0.2565 0.6905  1 Cd 3.01, 1 Ca 3.11
I 0.2565 0.7435 0.6905  1 Cd 3.01, 1 Ca 3.11
I 0.5000 0.5000 0.1590  1 Cd 2.76
I 0.7435 0.2565 0.6905  1 Cd 3.01, 1 Ca 3.11
I 0.7435 0.7435 0.6905  1 Cd 3.01, 1 Ca 3.11

=====

Record 14
AcGaN2 | PBE | optimized geometry

Results
Space-group type = No. 166
Formation energy (no corrections) = -0.63 eV/atom
Density = 6.24 g/cm³
Energy above the most stable polymorph in this dataset = 0.42 eV/f.u.
Total moment = 0.0000 μB/atom
Energy = -6.57 eV per atom

abc: 6.4050 6.4050 6.4050
angles: 37.29 37.29 37.29
Closest atoms and distances in Å follow each position.
Positions (direct):
Ac 0.0000 0.0000 0.0000  6 N 2.66
Ga 0.5000 0.5000 0.5000  2 N 1.76
N 0.4014 0.4014 0.4014  1 Ga 1.76
N 0.5986 0.5986 0.5986  1 Ga 1.76